[1]
Entry from the Alexandria database: a geometry-optimized TaBiMo2W structure (PBE-GGA).

Values from the calculation:
E_form: 2.87 eV per atom

Cell and atoms, written as CIF:
```
data_TaBiMo2W
_chemical_formula_sum 'Ta1 Bi1 Mo2 W1'
_cell_length_a 4.879
_cell_length_b 5.019
_cell_length_c 4.879
_cell_angle_alpha 90.00
_cell_angle_beta 90.00
_cell_angle_gamma 90.00
_symmetry_space_group_name_H-M 'P 1'
_symmetry_Int_Tables_number 1
loop_
_symmetry_equiv_pos_as_xyz
'x,y,z'
loop_
_atom_site_label
_atom_site_fract_x
_atom_site_fract_y
_atom_site_fract_z
Mo1 0.000 0.000 0.500
Mo2 0.500 0.000 0.000
Bi1 0.000 0.000 0.000
W1 0.500 0.500 0.500
Ta1 0.000 0.500 0.000
```

---

[2]
Entry from the Alexandria database: a geometry-optimized TaZnBiMo2 structure (PBE-GGA).

Values from the calculation:
E_form: 1.43 eV per atom

Cell and atoms, written as CIF:
```
data_TaZnBiMo2
_chemical_formula_sum 'Ta1 Zn1 Bi1 Mo2'
_cell_length_a 4.828
_cell_length_b 5.019
_cell_length_c 4.828
_cell_angle_alpha 90.00
_cell_angle_beta 90.00
_cell_angle_gamma 90.00
_symmetry_space_group_name_H-M 'P 1'
_symmetry_Int_Tables_number 1
loop_
_symmetry_equiv_pos_as_xyz
'x,y,z'
loop_
_atom_site_label
_atom_site_fract_x
_atom_site_fract_y
_atom_site_fract_z
Zn1 0.000 0.500 0.000
Mo1 0.000 0.000 0.500
Mo2 0.500 0.000 0.000
Bi1 0.500 0.500 0.500
Ta1 0.000 0.000 0.000
```

---

[3]
Entry from the Alexandria database: a geometry-optimized TcBiMo3 structure (PBE-GGA).

Values from the calculation:
Offset from the most stable computed form: 0 meV per atom
E_form: 1.41 eV per atom

Cell and atoms, written as CIF:
```
data_TcBiMo3
_chemical_formula_sum 'Tc1 Bi1 Mo3'
_cell_length_a 4.780
_cell_length_b 4.780
_cell_length_c 4.780
_cell_angle_alpha 90.00
_cell_angle_beta 90.00
_cell_angle_gamma 90.00
_symmetry_space_group_name_H-M 'P 1'
_symmetry_Int_Tables_number 1
loop_
_symmetry_equiv_pos_as_xyz
'x,y,z'
loop_
_atom_site_label
_atom_site_fract_x
_atom_site_fract_y
_atom_site_fract_z
Mo1 0.000 0.500 0.000
Mo2 0.000 0.000 0.500
Mo3 0.500 0.000 0.000
Bi1 0.500 0.500 0.500
Tc1 0.000 0.000 0.000
```

---

[4]
Entry from the Alexandria database: a geometry-optimized BiTeMo structure (PBE-GGA).

Values from the calculation:
Energy relative to the elements, uncorrected: 95 meV/atom

Cell and atoms, written as CIF:
```
data_BiTeMo
_chemical_formula_sum 'Bi2 Te2 Mo2'
_cell_length_a 3.440
_cell_length_b 7.669
_cell_length_c 5.876
_cell_angle_alpha 96.16
_cell_angle_beta 90.11
_cell_angle_gamma 102.91
_symmetry_space_group_name_H-M 'P 1'
_symmetry_Int_Tables_number 1
loop_
_symmetry_equiv_pos_as_xyz
'x,y,z'
loop_
_atom_site_label
_atom_site_fract_x
_atom_site_fract_y
_atom_site_fract_z
Te1 0.420 0.846 0.095
Te2 0.797 0.594 0.555
Bi1 0.078 0.158 0.460
Bi2 0.698 0.403 0.004
Mo1 0.442 0.883 0.613
Mo2 0.035 0.079 0.929
```

---

[5]
Entry from the Alexandria database: a geometry-optimized ThBiMo structure (PBE-GGA).

Values from the calculation:
E_form: 0.18 eV per atom

Cell and atoms, written as CIF:
```
data_ThBiMo
_chemical_formula_sum 'Th2 Bi2 Mo2'
_cell_length_a 3.667
_cell_length_b 3.667
_cell_length_c 12.959
_cell_angle_alpha 90.00
_cell_angle_beta 90.00
_cell_angle_gamma 90.00
_symmetry_space_group_name_H-M 'P 1'
_symmetry_Int_Tables_number 1
loop_
_symmetry_equiv_pos_as_xyz
'x,y,z'
loop_
_atom_site_label
_atom_site_fract_x
_atom_site_fract_y
_atom_site_fract_z
Mo1 0.000 0.000 0.000
Mo2 0.500 0.500 0.000
Bi1 0.000 0.500 0.622
Bi2 0.500 0.000 0.378
Th1 0.000 0.500 0.201
Th2 0.500 0.000 0.799
```

---

[6]
Entry from the Alexandria database: a geometry-optimized Ti4BiMo structure (PBE-GGA).

Values from the calculation:
Offset from the most stable computed form: 0 meV per atom
E_form: -0.10 eV per atom

Cell and atoms, written as CIF:
```
data_Ti4BiMo
_chemical_formula_sum 'Ti4 Bi1 Mo1'
_cell_length_a 3.461
_cell_length_b 5.394
_cell_length_c 7.011
_cell_angle_alpha 109.12
_cell_angle_beta 75.71
_cell_angle_gamma 71.29
_symmetry_space_group_name_H-M 'P 1'
_symmetry_Int_Tables_number 1
loop_
_symmetry_equiv_pos_as_xyz
'x,y,z'
loop_
_atom_site_label
_atom_site_fract_x
_atom_site_fract_y
_atom_site_fract_z
Ti1 0.860 0.473 0.806
Ti2 0.310 0.027 0.353
Ti3 0.140 0.527 0.194
Ti4 0.690 0.973 0.647
Bi1 0.000 0.000 0.000
Mo1 0.500 0.500 0.500
```

---

[7]
Entry from the Alexandria database: a geometry-optimized Ti6Bi3Mo structure (PBE-GGA).

Values from the calculation:
E_form: 0.19 eV per atom

Cell and atoms, written as CIF:
```
data_Ti6Bi3Mo
_chemical_formula_sum 'Ti12 Bi6 Mo2'
_cell_length_a 6.368
_cell_length_b 8.553
_cell_length_c 8.553
_cell_angle_alpha 113.48
_cell_angle_beta 90.00
_cell_angle_gamma 90.00
_symmetry_space_group_name_H-M 'P 1'
_symmetry_Int_Tables_number 1
loop_
_symmetry_equiv_pos_as_xyz
'x,y,z'
loop_
_atom_site_label
_atom_site_fract_x
_atom_site_fract_y
_atom_site_fract_z
Ti1 0.159 0.765 0.617
Ti2 0.659 0.617 0.765
Ti3 0.210 0.395 0.917
Ti4 0.710 0.917 0.395
Ti5 0.228 0.046 0.954
Ti6 0.659 0.272 0.728
Ti7 0.159 0.728 0.272
Ti8 0.728 0.954 0.046
Ti9 0.210 0.083 0.605
Ti10 0.710 0.605 0.083
Ti11 0.159 0.383 0.235
Ti12 0.659 0.235 0.383
Bi1 0.560 0.920 0.707
Bi2 0.060 0.707 0.920
Bi3 0.311 0.418 0.582
Bi4 0.811 0.582 0.418
Bi5 0.060 0.080 0.293
Bi6 0.560 0.293 0.080
Mo1 0.931 0.143 0.857
Mo2 0.431 0.857 0.143
```

---

[8]
Entry from the Alexandria database: a geometry-optimized Ti2Bi4Mo structure (PBE-GGA).

Values from the calculation:
E_form: 0.62 eV per atom

Cell and atoms, written as CIF:
```
data_Ti2Bi4Mo
_chemical_formula_sum 'Ti2 Bi4 Mo1'
_cell_length_a 5.434
_cell_length_b 5.434
_cell_length_c 7.883
_cell_angle_alpha 69.84
_cell_angle_beta 69.84
_cell_angle_gamma 90.00
_symmetry_space_group_name_H-M 'P 1'
_symmetry_Int_Tables_number 1
loop_
_symmetry_equiv_pos_as_xyz
'x,y,z'
loop_
_atom_site_label
_atom_site_fract_x
_atom_site_fract_y
_atom_site_fract_z
Mo1 0.000 0.000 0.000
Bi1 0.795 0.795 0.411
Bi2 0.205 0.205 0.589
Bi3 0.000 0.500 0.000
Bi4 0.500 0.000 0.000
Ti1 0.593 0.593 0.813
Ti2 0.407 0.407 0.187
```

---

[9]
Entry from the Alexandria database: a geometry-optimized Ti7Bi2Mo structure (PBE-GGA).

Values from the calculation:
E_form: 0.64 eV per atom

Cell and atoms, written as CIF:
```
data_Ti7Bi2Mo
_chemical_formula_sum 'Ti7 Bi2 Mo1'
_cell_length_a 6.733
_cell_length_b 6.733
_cell_length_c 6.733
_cell_angle_alpha 60.00
_cell_angle_beta 60.00
_cell_angle_gamma 60.00
_symmetry_space_group_name_H-M 'P 1'
_symmetry_Int_Tables_number 1
loop_
_symmetry_equiv_pos_as_xyz
'x,y,z'
loop_
_atom_site_label
_atom_site_fract_x
_atom_site_fract_y
_atom_site_fract_z
Ti1 0.500 0.500 0.500
Ti2 0.251 0.749 0.749
Ti3 0.251 0.749 0.251
Ti4 0.749 0.251 0.749
Ti5 0.749 0.749 0.251
Ti6 0.251 0.251 0.749
Ti7 0.749 0.251 0.251
Bi1 0.250 0.250 0.250
Bi2 0.750 0.750 0.750
Mo1 0.000 0.000 0.000
```

---

[10]
Entry from the Alexandria database: a geometry-optimized Ti5BiMo structure (PBE-GGA).

Values from the calculation:
E_form: 0.13 eV per atom

Cell and atoms, written as CIF:
```
data_Ti5BiMo
_chemical_formula_sum 'Ti10 Bi2 Mo2'
_cell_length_a 5.272
_cell_length_b 5.272
_cell_length_c 9.738
_cell_angle_alpha 101.54
_cell_angle_beta 101.54
_cell_angle_gamma 94.27
_symmetry_space_group_name_H-M 'P 1'
_symmetry_Int_Tables_number 1
loop_
_symmetry_equiv_pos_as_xyz
'x,y,z'
loop_
_atom_site_label
_atom_site_fract_x
_atom_site_fract_y
_atom_site_fract_z
Ti1 0.010 0.599 0.147
Ti2 0.222 0.541 0.464
Ti3 0.599 0.010 0.647
Ti4 0.893 0.107 0.250
Ti5 0.459 0.778 0.036
Ti6 0.541 0.222 0.964
Ti7 0.107 0.893 0.750
Ti8 0.401 0.990 0.353
Ti9 0.778 0.459 0.536
Ti10 0.990 0.401 0.853
Bi1 0.527 0.473 0.250
Bi2 0.473 0.527 0.750
Mo1 0.000 0.000 0.000
Mo2 0.000 0.000 0.500
```

---

[11]
Entry from the Alexandria database: a geometry-optimized TiBi3Mo structure (PBE-GGA).

Values from the calculation:
Offset from the most stable computed form: 14 meV per atom
E_form: 0.98 eV per atom

Cell and atoms, written as CIF:
```
data_TiBi3Mo
_chemical_formula_sum 'Ti1 Bi3 Mo1'
_cell_length_a 5.394
_cell_length_b 5.394
_cell_length_c 5.394
_cell_angle_alpha 90.00
_cell_angle_beta 90.00
_cell_angle_gamma 90.00
_symmetry_space_group_name_H-M 'P 1'
_symmetry_Int_Tables_number 1
loop_
_symmetry_equiv_pos_as_xyz
'x,y,z'
loop_
_atom_site_label
_atom_site_fract_x
_atom_site_fract_y
_atom_site_fract_z
Mo1 0.000 0.000 0.000
Bi1 0.000 0.500 0.000
Bi2 0.000 0.000 0.500
Bi3 0.500 0.000 0.000
Ti1 0.500 0.500 0.500
```

---

[12]
Entry from the Alexandria database: a geometry-optimized Ti4BiMo structure (PBE-GGA).

Values from the calculation:
Offset from the most stable computed form: 402 meV per atom
E_form: 0.30 eV per atom

Cell and atoms, written as CIF:
```
data_Ti4BiMo
_chemical_formula_sum 'Ti4 Bi1 Mo1'
_cell_length_a 4.514
_cell_length_b 4.519
_cell_length_c 7.699
_cell_angle_alpha 72.95
_cell_angle_beta 72.95
_cell_angle_gamma 60.03
_symmetry_space_group_name_H-M 'P 1'
_symmetry_Int_Tables_number 1
loop_
_symmetry_equiv_pos_as_xyz
'x,y,z'
loop_
_atom_site_label
_atom_site_fract_x
_atom_site_fract_y
_atom_site_fract_z
Ti1 0.636 0.636 0.091
Ti2 0.364 0.364 0.909
Ti3 0.111 0.110 0.669
Ti4 0.889 0.890 0.331
Bi1 0.500 0.500 0.500
Mo1 0.000 0.000 0.000
```

---

[13]
Entry from the Alexandria database: a geometry-optimized TiBiMo2 structure (PBE-GGA).

Values from the calculation:
E_form: 0.69 eV per atom

Cell and atoms, written as CIF:
```
data_TiBiMo2
_chemical_formula_sum 'Ti2 Bi2 Mo4'
_cell_length_a 3.990
_cell_length_b 3.990
_cell_length_c 10.389
_cell_angle_alpha 78.93
_cell_angle_beta 78.93
_cell_angle_gamma 90.00
_symmetry_space_group_name_H-M 'P 1'
_symmetry_Int_Tables_number 1
loop_
_symmetry_equiv_pos_as_xyz
'x,y,z'
loop_
_atom_site_label
_atom_site_fract_x
_atom_site_fract_y
_atom_site_fract_z
Mo1 0.577 0.125 0.250
Mo2 0.173 0.625 0.250
Mo3 0.375 0.423 0.750
Mo4 0.875 0.827 0.750
Bi1 0.000 0.000 0.000
Bi2 0.750 0.250 0.500
Ti1 0.500 0.500 0.000
Ti2 0.250 0.750 0.500
```

---

[14]
Entry from the Alexandria database: a geometry-optimized TiBi3Mo structure (PBE-GGA).

Values from the calculation:
Offset from the most stable computed form: 0 meV per atom
E_form: 0.97 eV per atom

Cell and atoms, written as CIF:
```
data_TiBi3Mo
_chemical_formula_sum 'Ti1 Bi3 Mo1'
_cell_length_a 5.378
_cell_length_b 5.378
_cell_length_c 5.378
_cell_angle_alpha 90.00
_cell_angle_beta 90.00
_cell_angle_gamma 90.00
_symmetry_space_group_name_H-M 'P 1'
_symmetry_Int_Tables_number 1
loop_
_symmetry_equiv_pos_as_xyz
'x,y,z'
loop_
_atom_site_label
_atom_site_fract_x
_atom_site_fract_y
_atom_site_fract_z
Mo1 0.500 0.500 0.500
Bi1 0.000 0.500 0.000
Bi2 0.000 0.000 0.500
Bi3 0.500 0.000 0.000
Ti1 0.000 0.000 0.000
```

---

[15]
Entry from the Alexandria database: a geometry-optimized TiVBi2Mo structure (PBE-GGA).

Values from the calculation:
E_form: 1.28 eV per atom

Cell and atoms, written as CIF:
```
data_TiVBi2Mo
_chemical_formula_sum 'Ti1 V1 Bi2 Mo1'
_cell_length_a 5.393
_cell_length_b 4.545
_cell_length_c 5.393
_cell_angle_alpha 90.00
_cell_angle_beta 90.00
_cell_angle_gamma 90.00
_symmetry_space_group_name_H-M 'P 1'
_symmetry_Int_Tables_number 1
loop_
_symmetry_equiv_pos_as_xyz
'x,y,z'
loop_
_atom_site_label
_atom_site_fract_x
_atom_site_fract_y
_atom_site_fract_z
Mo1 0.000 0.000 0.000
Ti1 0.000 0.500 0.000
Bi1 0.000 0.000 0.500
Bi2 0.500 0.000 0.000
V1 0.500 0.500 0.500
```

---

[16]
Entry from the Alexandria database: a geometry-optimized TlBiMo2 structure (PBE-GGA).

Values from the calculation:
Offset from the most stable computed form: 109 meV per atom
E_form: 0.99 eV per atom

Cell and atoms, written as CIF:
```
data_TlBiMo2
_chemical_formula_sum 'Tl2 Bi2 Mo4'
_cell_length_a 4.260
_cell_length_b 4.260
_cell_length_c 10.579
_cell_angle_alpha 78.39
_cell_angle_beta 78.39
_cell_angle_gamma 90.00
_symmetry_space_group_name_H-M 'P 1'
_symmetry_Int_Tables_number 1
loop_
_symmetry_equiv_pos_as_xyz
'x,y,z'
loop_
_atom_site_label
_atom_site_fract_x
_atom_site_fract_y
_atom_site_fract_z
Mo1 0.547 0.125 0.250
Mo2 0.203 0.625 0.250
Mo3 0.375 0.453 0.750
Mo4 0.875 0.797 0.750
Tl1 0.500 0.500 0.000
Tl2 0.250 0.750 0.500
Bi1 0.000 0.000 0.000
Bi2 0.750 0.250 0.500
```

---

[17]
Entry from the Alexandria database: a geometry-optimized Tl2BiMo structure (PBE-GGA).

Values from the calculation:
Offset from the most stable computed form: 0 meV per atom
E_form: 0.77 eV per atom

Cell and atoms, written as CIF:
```
data_Tl2BiMo
_chemical_formula_sum 'Tl4 Bi2 Mo2'
_cell_length_a 4.344
_cell_length_b 4.344
_cell_length_c 11.909
_cell_angle_alpha 79.49
_cell_angle_beta 79.49
_cell_angle_gamma 90.00
_symmetry_space_group_name_H-M 'P 1'
_symmetry_Int_Tables_number 1
loop_
_symmetry_equiv_pos_as_xyz
'x,y,z'
loop_
_atom_site_label
_atom_site_fract_x
_atom_site_fract_y
_atom_site_fract_z
Mo1 0.500 0.500 0.000
Mo2 0.250 0.750 0.500
Tl1 0.615 0.125 0.250
Tl2 0.135 0.625 0.250
Tl3 0.375 0.385 0.750
Tl4 0.875 0.865 0.750
Bi1 0.000 0.000 0.000
Bi2 0.750 0.250 0.500
```

---

[18]
Entry from the Alexandria database: a geometry-optimized TlBi3Mo structure (PBE-GGA).

Values from the calculation:
Offset from the most stable computed form: 0 meV per atom
E_form: 0.48 eV per atom

Cell and atoms, written as CIF:
```
data_TlBi3Mo
_chemical_formula_sum 'Tl1 Bi3 Mo1'
_cell_length_a 5.466
_cell_length_b 5.466
_cell_length_c 5.466
_cell_angle_alpha 90.00
_cell_angle_beta 90.00
_cell_angle_gamma 90.00
_symmetry_space_group_name_H-M 'P 1'
_symmetry_Int_Tables_number 1
loop_
_symmetry_equiv_pos_as_xyz
'x,y,z'
loop_
_atom_site_label
_atom_site_fract_x
_atom_site_fract_y
_atom_site_fract_z
Mo1 0.000 0.000 0.000
Tl1 0.500 0.500 0.500
Bi1 0.000 0.500 0.000
Bi2 0.000 0.000 0.500
Bi3 0.500 0.000 0.000
```

---

[19]
Entry from the Alexandria database: a geometry-optimized Tl2BiMo structure (PBE-GGA).

Values from the calculation:
Offset from the most stable computed form: 112 meV per atom
E_form: 0.88 eV per atom

Cell and atoms, written as CIF:
```
data_Tl2BiMo
_chemical_formula_sum 'Tl2 Bi1 Mo1'
_cell_length_a 5.307
_cell_length_b 5.307
_cell_length_c 5.307
_cell_angle_alpha 60.00
_cell_angle_beta 60.00
_cell_angle_gamma 60.00
_symmetry_space_group_name_H-M 'P 1'
_symmetry_Int_Tables_number 1
loop_
_symmetry_equiv_pos_as_xyz
'x,y,z'
loop_
_atom_site_label
_atom_site_fract_x
_atom_site_fract_y
_atom_site_fract_z
Mo1 0.000 0.000 0.000
Tl1 0.250 0.250 0.250
Tl2 0.750 0.750 0.750
Bi1 0.500 0.500 0.500
```

---

[20]
Entry from the Alexandria database: a geometry-optimized TlBiMo3 structure (PBE-GGA).

Values from the calculation:
Offset from the most stable computed form: 0 meV per atom
E_form: 2.30 eV per atom

Cell and atoms, written as CIF:
```
data_TlBiMo3
_chemical_formula_sum 'Tl1 Bi1 Mo3'
_cell_length_a 5.053
_cell_length_b 5.053
_cell_length_c 5.053
_cell_angle_alpha 90.00
_cell_angle_beta 90.00
_cell_angle_gamma 90.00
_symmetry_space_group_name_H-M 'P 1'
_symmetry_Int_Tables_number 1
loop_
_symmetry_equiv_pos_as_xyz
'x,y,z'
loop_
_atom_site_label
_atom_site_fract_x
_atom_site_fract_y
_atom_site_fract_z
Mo1 0.000 0.500 0.000
Mo2 0.000 0.000 0.500
Mo3 0.500 0.000 0.000
Tl1 0.500 0.500 0.500
Bi1 0.000 0.000 0.000
```